# 1
The following is a PBE calculation of a relaxed SrCeC crystal, from Alexandria.

## Properties
Energy of formation = 0.769 kcal/mol of atoms

```
SrCeC
1.0
-1.930 -1.873 -5.791
5.816 -2.386 -1.167
-2.298 -7.097 3.061
Ce Sr C
4 4 4
direct
0.826 0.986 0.108
0.326 0.014 0.892
0.826 0.486 0.892
0.326 0.514 0.108
0.326 0.025 0.331
0.826 0.975 0.669
0.326 0.525 0.669
0.826 0.475 0.331
0.076 0.250 0.019
0.576 0.750 0.981
0.076 0.750 0.981
0.576 0.250 0.019
```



# 2
The following is a PBE calculation of a relaxed ZrV2Mo crystal, from Alexandria.

## Properties
Energy of formation = 12.397 kcal/mol of atoms
Energy above the lowest structure with this stoichiometry = 0.500 eV/atom

```
ZrV2Mo
1.0
7.042 0.000 0.000
0.000 7.042 0.000
3.521 3.521 2.785
Mo Zr V
2 2 4
direct
0.000 0.000 0.000
0.750 0.250 0.500
0.500 0.500 0.000
0.250 0.750 0.500
0.654 0.125 0.250
0.096 0.625 0.250
0.375 0.346 0.750
0.875 0.904 0.750
```



# 3
The following is a PBE calculation of a relaxed Bi2SbAu crystal, from Alexandria.

## Properties
E_form (uncorrected) = 0.014 eV/f.u.

```
Bi2SbAu
1.0
4.344 0.000 0.000
2.172 3.762 0.000
2.172 1.254 7.140
Sb Au Bi
1 1 2
direct
0.500 0.500 0.500
0.000 0.000 0.000
0.258 0.258 0.225
0.742 0.742 0.775
```



# 4
The following is a PBE calculation of a relaxed InGeAu2 crystal, from Alexandria.

## Properties
Energy of formation = 0.444 kcal/mol of atoms

```
InGeAu2
1.0
3.371 0.000 0.000
0.000 3.371 0.000
0.000 0.000 7.093
Ge Au In
1 2 1
direct
0.500 0.500 0.000
0.000 0.000 0.769
0.000 0.000 0.231
0.500 0.500 0.500
```